Here is MnTl2Zn after structural relaxation from Alexandria via LeMat-Bulk. Energies are from GGA-PBE.

Cell: 5.7237 5.7237 5.7237 Å, 136.59 136.59 63.07°
Last column: magnetic moment on the atom in μB.
Atoms (fractional coordinates):
Mn  0.7500  0.2500  0.5000  3.89
Tl  0.0000  0.0000  0.0000  -0.02
Tl  0.2500  0.7500  0.5000  -0.05
Zn  0.5000  0.5000  0.0000  -0.03

Properties
Energy relative to the lowest polymorph listed for this composition: 0.56 eV per formula unit
E_form: 0.402 eV/atom
Fermi-level density of states: 2.27 states/eV/cell